No. 1
A plane-wave DFT calculation with PBEsol was carried out for a geometry-optimized BaIn structure.

a = 4.107 Å, b = 5.815 Å, c = 6.909 Å
α = 114.89°, β = 107.29°, γ = 90.00°
Element x y z (fractional)
1 Ba 0.403 0.653 0.806
2 Ba 0.597 0.347 0.194
3 In 0.838 0.088 0.676
4 In 0.162 0.912 0.324

Summary:
VASP energy = -11.91 eV/cell
Energy relative to the elements = -412 meV per atom
DOS(E_F) = 2.9 states/eV per cell
Space group = Imma (74)



No. 2
A plane-wave DFT calculation with PBEsol was carried out for a geometry-optimized K2CdS structure.

a = 5.454 Å, b = 5.454 Å, c = 5.454 Å
α = 60.00°, β = 60.00°, γ = 60.00°
Element x y z (fractional)
1 K 0.250 0.250 0.250
2 K 0.750 0.750 0.750
3 S 0.000 0.000 0.000
4 Cd 0.500 0.500 0.500

Summary:
VASP energy = -9.93 eV/cell
Formation energy (no corrections) = -521 meV per atom
DOS(E_F) = 0.0 states/eV per cell
Space group = Fm-3m (225)



No. 3
A plane-wave DFT calculation with PBEsol was carried out for a geometry-optimized Sr2InTc structure.

a = 3.952 Å, b = 5.276 Å, c = 6.212 Å
α = 115.13°, β = 108.55°, γ = 90.00°
Element x y z (fractional)
1 In 0.795 0.295 0.591
2 Sr 0.017 0.017 0.034
3 Sr 0.225 0.725 0.450
4 Tc 0.463 0.463 0.925

Summary:
VASP energy = -16.42 eV/cell
Energy relative to the elements = 377 meV per atom
DOS(E_F) = 3.1 states/eV per cell
Space group = Imm2 (44)



No. 4
A plane-wave DFT calculation with PBEsol was carried out for a geometry-optimized InAgO2 structure.

a = 3.285 Å, b = 3.285 Å, c = 12.545 Å
α = 90.00°, β = 90.00°, γ = 120.00°
Element x y z (fractional)
1 O 0.667 0.333 0.586
2 O 0.333 0.667 0.086
3 O 0.333 0.667 0.414
4 O 0.667 0.333 0.914
5 Ag 0.667 0.333 0.750
6 Ag 0.333 0.667 0.250
7 In 0.000 0.000 0.500
8 In 0.000 0.000 0.000

Summary:
VASP energy = -41.99 eV/cell
Formation energy (no corrections) = -1051 meV per atom
DOS(E_F) = 0.9 states/eV per cell
Space group = P6_3/mmc (194)



No. 5
A plane-wave DFT calculation with PBEsol was carried out for a geometry-optimized La2MgPb structure.

a = 4.739 Å, b = 4.739 Å, c = 6.187 Å
α = 112.52°, β = 112.52°, γ = 90.00°
Element x y z (fractional)
1 Pb 0.250 0.750 0.500
2 Mg 0.500 0.500 0.000
3 La 0.000 0.000 0.000
4 La 0.750 0.250 0.500

Summary:
VASP energy = -17.80 eV/cell
Energy relative to the elements = -347 meV per atom
DOS(E_F) = 3.1 states/eV per cell
Space group = I-4m2 (119)



No. 6
A plane-wave DFT calculation with PBEsol was carried out for a geometry-optimized BaHg2Te structure.

a = 4.713 Å, b = 4.713 Å, c = 7.211 Å
α = 108.96°, β = 108.96°, γ = 90.33°
Element x y z (fractional)
1 Ba 0.000 0.000 0.000
2 Hg 0.000 0.000 0.500
3 Hg 0.500 0.500 0.500
4 Te 0.500 0.500 0.000

Summary:
VASP energy = -9.39 eV/cell
Formation energy (no corrections) = -646 meV per atom
DOS(E_F) = 0.7 states/eV per cell
Space group = Fmmm (69)



No. 7
A plane-wave DFT calculation with PBEsol was carried out for a geometry-optimized Sr2LaSc structure.

a = 4.161 Å, b = 5.902 Å, c = 6.076 Å
α = 90.00°, β = 90.00°, γ = 90.00°
Element x y z (fractional)
1 La 0.500 0.000 0.500
2 Sc 0.000 0.500 0.500
3 Sr 0.000 0.000 0.000
4 Sr 0.500 0.500 0.000

Summary:
VASP energy = -14.43 eV/cell
Energy relative to the elements = 300 meV per atom
DOS(E_F) = 7.1 states/eV per cell
Space group = Pmmm (47)



No. 8
A plane-wave DFT calculation with PBEsol was carried out for a geometry-optimized BeTcHg2 structure.

a = 2.906 Å, b = 4.590 Å, c = 5.468 Å
α = 114.82°, β = 105.41°, γ = 90.00°
Element x y z (fractional)
1 Be 0.233 0.733 0.467
2 Hg 0.972 0.972 0.943
3 Hg 0.756 0.256 0.513
4 Tc 0.538 0.538 0.077

Summary:
VASP energy = -14.49 eV/cell
Energy relative to the elements = 478 meV per atom
DOS(E_F) = 2.5 states/eV per cell
Space group = Imm2 (44)



No. 9
A plane-wave DFT calculation with PBEsol was carried out for a geometry-optimized CsTiNiOF5 structure.

a = 7.192 Å, b = 7.252 Å, c = 7.225 Å
α = 119.88°, β = 90.00°, γ = 119.72°
Each line ends with the local moment (μB).
Element x y z (fractional)
1 Cs 0.119 0.238 0.869  0.00
2 Cs 0.881 0.762 0.131  0.00
3 Ti 0.000 0.500 0.500  0.02
4 Ti 0.500 0.500 0.500  0.02
5 Ni 0.500 0.000 0.000  1.67
6 Ni 0.500 0.000 0.500  1.67
7 O 0.795 0.590 0.545  0.01
8 O 0.205 0.410 0.455  0.01
9 F 0.576 0.152 0.826  0.11
10 F 0.424 0.848 0.174  0.11
11 F 0.829 0.244 0.181  0.04
12 F 0.829 0.244 0.562  0.04
13 F 0.415 0.244 0.181  0.04
14 F 0.585 0.756 0.438  0.04
15 F 0.415 0.244 0.562  0.04
16 F 0.585 0.756 0.819  0.04
17 F 0.171 0.756 0.438  0.04
18 F 0.171 0.756 0.819  0.04

Summary:
VASP energy = -108.69 eV/cell
Formation energy (no corrections) = -2671 meV per atom
Space group = Imma (74)



No. 10
A plane-wave DFT calculation with PBEsol was carried out for a geometry-optimized YTlZn2 structure.

a = 4.127 Å, b = 4.442 Å, c = 4.442 Å
α = 90.00°, β = 90.00°, γ = 90.00°
Element x y z (fractional)
1 Tl 0.500 0.500 0.500
2 Y 0.500 0.000 0.000
3 Zn 0.000 0.000 0.500
4 Zn 0.000 0.500 0.000

Summary:
VASP energy = -13.61 eV/cell
Energy relative to the elements = -248 meV per atom
DOS(E_F) = 2.4 states/eV per cell
Space group = P4/mmm (123)



No. 11
A plane-wave DFT calculation with PBEsol was carried out for a geometry-optimized SbP3 structure.

a = 3.119 Å, b = 3.119 Å, c = 7.236 Å
α = 90.00°, β = 90.00°, γ = 90.00°
Element x y z (fractional)
1 Sb 0.500 0.500 0.500
2 P 0.000 0.000 0.831
3 P 0.500 0.500 0.000
4 P 0.000 0.000 0.169

Summary:
VASP energy = -20.06 eV/cell
Formation energy (no corrections) = 467 meV per atom
DOS(E_F) = 1.8 states/eV per cell
Space group = P4/mmm (123)



No. 12
A plane-wave DFT calculation with PBEsol was carried out for a geometry-optimized Li2FeSe structure.

a = 3.686 Å, b = 3.686 Å, c = 3.861 Å
α = 90.00°, β = 90.00°, γ = 90.00°
Each line ends with the local moment (μB).
Element x y z (fractional)
1 Fe 0.000 0.000 0.500  2.59
2 Li 0.000 0.500 0.000  -0.02
3 Li 0.500 0.000 0.000  -0.02
4 Se 0.500 0.500 0.500  0.06

Summary:
VASP energy = -17.74 eV/cell
Formation energy (no corrections) = -247 meV per atom
DOS(E_F) = 2.7 states/eV per cell
Space group = P4/mmm (123)



Density, respectively: 5.922, 3.224, 5.869, 7.216, 7.241, 7.782, 3.996, 13.334, 4.342, 8.647, 5.065, 4.707 Mg/m³.